CaCeZnGa: optimized geometry, GGA-PBE.

abc: 7.303 7.303 7.303
angles: 90.00 90.00 90.00
Space group F-43m (No. 216)
Asymmetric unit:
Ca: 0.000 0.000 0.000 x4
Ce: 0.000 0.000 0.500 x4
Zn: 0.250 0.250 0.250 x4
Ga: 0.250 0.250 0.750 x4

* energy of formation: -34 kJ/mol of atoms
* total magnetic moment: 0.76 μB per formula unit
* volume: 24.3 A^3/atom